{"formula": "SmDyAg2Sn2", "functional": "GGA-PBE", "state": "optimized geometry", "magmom_total_mub_per_fu": 0.001, "e_tot_ev_per_cell": -26.6, "sg": "P3m1", "lattice_angstrom": [[4.7501, 0.0000, 0.0000], [-2.3750, 4.1137, 0.0000], [0.0000, 0.0000, 7.4209]], "species": ["Sm", "Dy", "Ag", "Ag", "Sn", "Sn"], "fractional_positions": [[0.0000, 0.0000, 0.0000], [0.0000, 0.0000, 0.5009], [0.3333, 0.6667, 0.6884], [0.6667, 0.3333, 0.1978], [0.3333, 0.6667, 0.2824], [0.6667, 0.3333, 0.7762]]}